Entry 1:
# TbMgZrOs (PBE-GGA, relaxed)
data_TbMgZrOs
_symmetry_space_group_name_H-M 'F -4 3 m'
_symmetry_Int_Tables_number 216
_symmetry_space_group_name_Hall 'F -4 2 3'
_cell_length_a 6.917
_cell_length_b 6.917
_cell_length_c 6.917
_cell_angle_alpha 90.00
_cell_angle_beta 90.00
_cell_angle_gamma 90.00
loop_
_atom_site_label
_atom_site_fract_x
_atom_site_fract_y
_atom_site_fract_z
Tb1 0.000 0.000 0.000
Mg1 0.250 0.250 0.250
Zr1 0.000 0.000 0.500
Os1 0.250 0.250 0.750
# Density of states at the Fermi level (states/eV/f.u.): 2.9
# Raw total energy (eV per atom): -6.6279
# Volume (Å³/cell): 330.99
# Spin magnetization (Bohr magnetons per cell): 0.000

Entry 2:
# Ba2Pr (PBE-GGA, relaxed)
data_Ba2Pr
_symmetry_space_group_name_H-M 'I 4/m m m'
_symmetry_Int_Tables_number 139
_symmetry_space_group_name_Hall '-I 4 2'
_cell_length_a 4.105
_cell_length_b 4.105
_cell_length_c 17.983
_cell_angle_alpha 90.00
_cell_angle_beta 90.00
_cell_angle_gamma 90.00
loop_
_atom_site_label
_atom_site_fract_x
_atom_site_fract_y
_atom_site_fract_z
Ba1 0.000 0.000 0.155
Pr1 0.000 0.000 0.500
# ΔE to the lowest computed polymorph (meV per atom): 0
# Density of states at the Fermi level (states/eV/f.u.): 5.2
# Raw total energy (eV per atom): -2.7158
# Volume (Å³/cell): 303.07
# Spin magnetization (Bohr magnetons per cell): 0.000

Entry 3:
# Nb2NiGe (PBE-GGA, relaxed)
data_Nb2NiGe
_symmetry_space_group_name_H-M 'R -3 m'
_symmetry_Int_Tables_number 166
_symmetry_space_group_name_Hall '-R 3 2"'
_cell_length_a 3.7093
_cell_length_b 3.7093
_cell_length_c 17.2866
_cell_angle_alpha 90.00
_cell_angle_beta 90.00
_cell_angle_gamma 120.00
loop_
_atom_site_label
_atom_site_fract_x
_atom_site_fract_y
_atom_site_fract_z
Nb1 0.0000 0.0000 0.2429
Ni1 0.0000 0.0000 0.5000
Ge1 0.0000 0.0000 0.0000
# Density of states at the Fermi level (states/eV/f.u.): 5.3
# Raw total energy (eV per atom): -7.5427
# Volume (Å³/cell): 205.98
# Spin magnetization (Bohr magnetons per cell): 0.002